[1]
Computed, not measured: a geometry-optimized TlBiF6 structure at the PBE level of DFT.

Computed properties:
total energy = -4.310 eV per atom
formation energy (no corrections) = -2126 meV/atom

Cell: 5.6692 5.6692 15.9897 Å, 90.00 90.00 120.00°
Space group R-3 (No. 148, hexagonal axes)
Unique sites:
Tl 0.0000 0.0000 0.0000
Bi 0.0000 0.0000 0.5000
F 0.0076 0.6359 0.7489


[2]
Computed, not measured: a geometry-optimized TlBi3F structure at the PBE level of DFT.

Computed properties:
energy above the lowest structure with this stoichiometry = 0.839 eV/atom
total energy = -2.642 eV per atom
formation energy (no corrections) = 534 meV/atom

Cell: 5.843 5.843 5.843 Å, 90.00 90.00 90.00°
Space group Pm-3m (No. 221)
Unique sites:
Tl 0.000 0.000 0.000
Bi 0.000 0.000 0.500
F 0.500 0.500 0.500


[3]
Computed, not measured: a geometry-optimized TlBi2F structure at the PBE level of DFT.

Computed properties:
energy above the lowest structure with this stoichiometry = 0.000 eV/atom
total energy = -3.517 eV per atom
formation energy (no corrections) = -518 meV/atom

Cell: 4.500 4.500 22.963 Å, 90.00 90.00 90.00°
Space group I-42d (No. 122)
Unique sites:
Tl 0.000 0.000 0.000
Bi 0.221 0.250 0.625
F 0.000 0.000 0.500


[4]
Computed, not measured: a geometry-optimized Tl2Bi2F structure at the PBE level of DFT.

Computed properties:
energy above the lowest structure with this stoichiometry = 0.102 eV/atom
total energy = -3.299 eV per atom
formation energy (no corrections) = -426 meV/atom

Cell: 4.358 4.358 18.280 Å, 90.00 90.00 90.00°
Space group I4/mmm (No. 139)
Unique sites:
Tl 0.000 0.000 0.087
Bi 0.000 0.500 0.250
F 0.000 0.000 0.500


[5]
Computed, not measured: a geometry-optimized TlBi2F8 structure at the PBE level of DFT.

Computed properties:
energy above the lowest structure with this stoichiometry = 0.000 eV/atom
total energy = -4.478 eV per atom
formation energy (no corrections) = -2196 meV/atom

Cell: 7.178 10.635 4.442 Å, 90.00 103.35 90.00°
Space group C2/m (No. 12)
Unique sites:
Tl 0.000 0.000 0.000
Bi 0.000 0.317 0.500
F 0.000 0.240 0.000
F 0.142 0.500 0.806
F 0.189 0.139 0.583


[6]
Computed, not measured: a geometry-optimized Tl4BiF6 structure at the PBE level of DFT.

Computed properties:
total energy = -3.979 eV per atom
formation energy (no corrections) = -1745 meV/atom

Cell: 7.747 7.747 10.652 Å, 90.00 90.00 90.00°
Space group P4/mnc (No. 128)
Unique sites:
Tl 0.181 0.319 0.250
Bi 0.000 0.000 0.000
F 0.000 0.000 0.218
F 0.160 0.246 0.000


[7]
Computed, not measured: a geometry-optimized Tl3BiF6 structure at the PBE level of DFT.

Computed properties:
energy above the lowest structure with this stoichiometry = 0.006 eV/atom
total energy = -4.280 eV per atom
formation energy (no corrections) = -2059 meV/atom

Cell: 11.696 6.789 6.925 Å, 90.00 124.93 90.00°
Space group C2/m (No. 12)
Unique sites:
Tl 0.000 0.000 0.000
Tl 0.248 0.000 0.720
Bi 0.000 0.500 0.500
F 0.076 0.265 0.359
F 0.218 0.500 0.844


[8]
Computed, not measured: a geometry-optimized TlBiF3 structure at the PBE level of DFT.

Computed properties:
energy above the lowest structure with this stoichiometry = 0.000 eV/atom
total energy = -4.220 eV per atom
formation energy (no corrections) = -1848 meV/atom

Cell: 4.206 5.954 10.155 Å, 93.72 101.51 108.22°
Space group P1 (No. 1)
Unique sites:
Tl 0.000 0.000 0.000
Tl 0.365 0.493 0.276
Bi 0.657 0.436 0.899
Bi 0.850 0.053 0.531
F 0.001 0.226 0.750
F 0.107 0.796 0.498
F 0.248 0.551 0.974
F 0.372 0.280 0.548
F 0.768 0.155 0.330
F 0.830 0.572 0.124